# BeInCl | Alexandria | PBE | relaxed
data_BeInCl
_cell_length_a 3.033
_cell_length_b 3.033
_cell_length_c 15.244
_cell_angle_alpha 90.00
_cell_angle_beta 90.00
_cell_angle_gamma 90.00
_symmetry_space_group_name_H-M 'P 1'
_symmetry_Int_Tables_number 1
loop_
_symmetry_equiv_pos_as_xyz
'x,y,z'
loop_
_atom_site_label
_atom_site_type_symbol
_atom_site_fract_x
_atom_site_fract_y
_atom_site_fract_z
Be1 Be 0.000 0.000 0.000
Be2 Be 0.500 0.500 0.500
In1 In 0.000 0.000 0.359
In2 In 0.500 0.500 0.859
Cl1 Cl 0.000 0.000 0.573
Cl2 Cl 0.500 0.500 0.073
# formation energy (no corrections): 95.8 meV per atom
# E_tot: -2.675 eV/atom
# ρ: 3.773 g/cm3
# crystal system: tetragonal